The following is a DFT calculation (PBE-GGA) of AcEuTlBi after structural relaxation.

Results
uncorrected energy	-5.6870	eV/atom
space-group type	F-43m

POSCAR file:
```
AcEuTlBi
1.0
-1.0073 -3.8224 4.2373
3.7674 -0.5413 4.3697
-1.4242 1.8588 5.3006
Tl Bi Eu Ac
1 1 1 1
Direct
0.0000 0.0000 0.0000
0.5000 0.5000 0.5000
0.2500 0.2500 0.2500
0.7500 0.7500 0.7500
```